# 1
This record from the Alexandria database describes a relaxed Sm7Dy3Ho crystal. The functional is PBE.

Properties
Calculated density in g cm⁻³: 7.58
Total moment in Bohr magnetons per cell: 0.12
VASP energy in eV/atom: -4.43
Relative energy among the computed polymorphs in meV/atom: 118
DOS at the Fermi energy in states/eV/f.u.: 15.71
DFT formation energy in eV/f.u.: 2.677

abc: 5.8638 8.5034 8.5034
angles: 82.88 110.19 110.19
Last column: magnetic moment on the atom in μB.
Sites, in units of the cell vectors:
Sm (0.2109, 0.2094, 0.2094)  0.00
Sm (0.3058, 0.0148, 0.5975)  0.00
Sm (0.6942, 0.4025, 0.9852)  0.00
Sm (0.3058, 0.5975, 0.0148)  0.00
Sm (0.0000, 0.5000, 0.5000)  0.04
Sm (0.6942, 0.9852, 0.4025)  0.00
Sm (0.7891, 0.7906, 0.7906)  0.00
Dy (0.0000, 0.7951, 0.2049)  0.00
Dy (0.5000, 0.0000, 0.0000)  0.00
Dy (0.0000, 0.2049, 0.7951)  0.00
Ho (0.5000, 0.5000, 0.5000)  0.06


# 2
This record from the Alexandria database describes a relaxed Sm2DyHo crystal. The functional is PBE.

Properties
Calculated density in g cm⁻³: 8.02
Total moment in Bohr magnetons per cell: 0.00
VASP energy in eV/atom: -4.64
Relative energy among the computed polymorphs in meV/atom: 0
DOS at the Fermi energy in states/eV/f.u.: 5.69
DFT formation energy in eV/f.u.: 0.054

abc: 3.6010 3.6010 11.7691
angles: 81.20 81.20 60.00
Sites, in units of the cell vectors:
Sm (0.0833, 0.0833, 0.7500)
Sm (0.2498, 0.2498, 0.2507)
Dy (0.5000, 0.5000, 0.5000)
Ho (0.6669, 0.6669, 0.9992)